# 1
Compound: LiAsO2F
Source: the Alexandria database
Functional: PBE
Structure: relaxed

Cell lengths 3.801, 3.801, 4.187 Å; angles 90.00, 90.00, 90.00 degrees
Fractional positions:
Li 0.000 0.000 0.000
As 0.500 0.500 0.500
O 0.000 0.500 0.500
O 0.500 0.000 0.500
F 0.500 0.500 0.000

calculated volume: 60.5 Å³ per cell
spin magnetization: 0.00 Bohr magnetons per cell
formation energy from raw total energies: -1377 meV per atom
space group: P4/mmm, No. 123

# 2
Compound: LiAsOF2
Source: the Alexandria database
Functional: PBE
Structure: relaxed

Cell lengths 3.458, 3.458, 4.072 Å; angles 90.00, 90.00, 90.00 degrees
Fractional positions:
Li 0.000 0.000 0.000
As 0.500 0.500 0.500
O 0.000 0.000 0.500
F 0.000 0.500 0.000
F 0.500 0.000 0.000

calculated volume: 48.7 Å³ per cell
spin magnetization: 0.00 Bohr magnetons per cell
formation energy from raw total energies: -1311 meV per atom
space group: P4/mmm, No. 123

# 3
Compound: LiAsO2F
Source: the Alexandria database
Functional: PBE
Structure: relaxed

Cell lengths 3.719, 3.719, 3.482 Å; angles 90.00, 90.00, 90.00 degrees
Fractional positions:
Li 0.000 0.000 0.000
As 0.500 0.500 0.500
O 0.000 0.500 0.000
O 0.500 0.000 0.000
F 0.000 0.000 0.500

calculated volume: 48.2 Å³ per cell
spin magnetization: 1.00 Bohr magnetons per cell
formation energy from raw total energies: -652 meV per atom
space group: P4/mmm, No. 123

# 4
Compound: LiAsOF2
Source: the Alexandria database
Functional: PBE
Structure: relaxed

Cell lengths 4.301, 4.301, 3.931 Å; angles 90.00, 90.00, 90.00 degrees
Fractional positions:
Li 0.000 0.000 0.000
As 0.500 0.500 0.500
O 0.500 0.500 0.000
F 0.000 0.500 0.500
F 0.500 0.000 0.500

calculated volume: 72.7 Å³ per cell
spin magnetization: 0.00 Bohr magnetons per cell
formation energy from raw total energies: -1598 meV per atom
space group: P4/mmm, No. 123

# 5
Compound: Li2AsOsF
Source: the Alexandria database
Functional: PBE
Structure: relaxed

Cell lengths 4.933, 4.933, 3.804 Å; angles 90.00, 90.00, 90.00 degrees
Fractional positions:
Li 0.000 0.500 0.000
Li 0.500 0.000 0.000
As 0.000 0.000 0.500
Os 0.500 0.500 0.000
F 0.500 0.500 0.500

calculated volume: 92.6 Å³ per cell
spin magnetization: 0.00 Bohr magnetons per cell
formation energy from raw total energies: 381 meV per atom
space group: P4/mmm, No. 123

# 6
Compound: LiPmAsF
Source: the Alexandria database
Functional: PBE
Structure: relaxed

Cell lengths 3.938, 3.938, 9.079 Å; angles 90.00, 90.00, 90.00 degrees
Fractional positions:
Li 0.250 0.750 0.000
Li 0.750 0.250 0.000
Pm 0.250 0.250 0.326
Pm 0.750 0.750 0.674
As 0.250 0.250 0.813
As 0.750 0.750 0.187
F 0.250 0.750 0.500
F 0.750 0.250 0.500

calculated volume: 140.8 Å³ per cell
spin magnetization: 0.00 Bohr magnetons per cell
formation energy from raw total energies: -2089 meV per atom
space group: P4/nmm, No. 129

# 7
Compound: LiPrAsF
Source: the Alexandria database
Functional: PBE
Structure: relaxed

Cell lengths 3.996, 3.996, 9.134 Å; angles 90.00, 90.00, 90.00 degrees
Fractional positions:
Li 0.250 0.750 0.000
Li 0.750 0.250 0.000
Pr 0.250 0.250 0.324
Pr 0.750 0.750 0.676
As 0.250 0.250 0.816
As 0.750 0.750 0.184
F 0.250 0.750 0.500
F 0.750 0.250 0.500

calculated volume: 145.9 Å³ per cell
spin magnetization: 0.00 Bohr magnetons per cell
formation energy from raw total energies: -2083 meV per atom
space group: P4/nmm, No. 129

# 8
Compound: Li2AsPtF
Source: the Alexandria database
Functional: PBE
Structure: relaxed

Cell lengths 5.160, 5.160, 4.473 Å; angles 90.00, 90.00, 90.00 degrees
Fractional positions:
Li 0.000 0.500 0.000
Li 0.500 0.000 0.000
As 0.000 0.000 0.000
Pt 0.000 0.000 0.500
F 0.500 0.500 0.500

calculated volume: 119.1 Å³ per cell
spin magnetization: 0.00 Bohr magnetons per cell
formation energy from raw total energies: -498 meV per atom
space group: P4/mmm, No. 123

# 9
Compound: Rb2LiAsF6
Source: the Alexandria database
Functional: PBE
Structure: relaxed

Cell lengths 6.018, 6.018, 6.018 Å; angles 60.00, 60.00, 60.00 degrees
Fractional positions:
Rb 0.250 0.250 0.250
Rb 0.750 0.750 0.750
Li 0.000 0.000 0.000
As 0.500 0.500 0.500
F 0.255 0.255 0.745
F 0.255 0.745 0.255
F 0.255 0.745 0.745
F 0.745 0.255 0.255
F 0.745 0.255 0.745
F 0.745 0.745 0.255

calculated volume: 154.1 Å³ per cell
spin magnetization: 0.00 Bohr magnetons per cell
formation energy from raw total energies: -2560 meV per atom
space group: Fm-3m, No. 225

# 10
Compound: RbLiAsF6
Source: the Alexandria database
Functional: PBE
Structure: relaxed

Cell lengths 5.370, 5.370, 6.109 Å; angles 90.00, 90.00, 120.00 degrees
Fractional positions:
Rb 0.000 0.000 0.000
Li 0.333 0.667 0.500
As 0.667 0.333 0.500
F 0.392 0.022 0.680
F 0.392 0.370 0.320
F 0.630 0.022 0.320
F 0.630 0.608 0.680
F 0.978 0.370 0.680
F 0.978 0.608 0.320

calculated volume: 152.6 Å³ per cell
spin magnetization: 0.98 Bohr magnetons per cell
formation energy from raw total energies: -2440 meV per atom
space group: P312, No. 149

# 11
Compound: LiRe2AsF
Source: the Alexandria database
Functional: PBE
Structure: relaxed

Cell lengths 4.451, 4.451, 3.311 Å; angles 90.00, 90.00, 90.00 degrees
Fractional positions:
Li 0.000 0.000 0.000
Re 0.000 0.500 0.500
Re 0.500 0.000 0.500
As 0.500 0.500 0.000
F 0.000 0.000 0.500

calculated volume: 65.6 Å³ per cell
spin magnetization: 0.00 Bohr magnetons per cell
formation energy from raw total energies: 550 meV per atom
space group: P4/mmm, No. 123

# 12
Compound: LiAsRhF2
Source: the Alexandria database
Functional: PBE
Structure: relaxed

Cell lengths 3.575, 3.575, 5.196 Å; angles 90.00, 90.00, 90.00 degrees
Fractional positions:
Li 0.000 0.000 0.000
As 0.000 0.000 0.500
Rh 0.500 0.500 0.500
F 0.000 0.500 0.000
F 0.500 0.000 0.000

calculated volume: 66.4 Å³ per cell
spin magnetization: 0.53 Bohr magnetons per cell
formation energy from raw total energies: -962 meV per atom
space group: P4/mmm, No. 123